First-principles (PBE-GGA) data for a relaxed SbAuO3 crystal, as listed in the Alexandria database.

## Properties
Space-group type = Pnma, No. 62
Energy relative to the elements, uncorrected = -0.18 eV/atom
Total energy = -4.638 eV per atom
Calculated density = 7.713 g/cm³
Size of the total moment = 0.0 μB per formula unit

Unit cell a=5.8847 b=5.4231 c=9.8964 alpha=90.00 beta=90.00 gamma=90.00
Positions (direct):
1 Sb 0.0000 0.5000 0.0000
2 Sb 0.5000 0.0000 0.5000
3 Sb 0.5000 0.0000 0.0000
4 Sb 0.0000 0.5000 0.5000
5 Au 0.1973 0.2516 0.7500
6 Au 0.3027 0.7516 0.2500
7 Au 0.8027 0.7484 0.2500
8 Au 0.6973 0.2484 0.7500
9 O 0.9126 0.0831 0.0286
10 O 0.5874 0.5831 0.5286
11 O 0.5874 0.5831 0.9714
12 O 0.0874 0.9169 0.5286
13 O 0.0874 0.9169 0.9714
14 O 0.4126 0.4169 0.4714
15 O 0.4126 0.4169 0.0286
16 O 0.9126 0.0831 0.4714
17 O 0.4483 0.9816 0.7500
18 O 0.0517 0.4816 0.2500
19 O 0.5517 0.0184 0.2500
20 O 0.9483 0.5184 0.7500


First-principles (PBE-GGA) data for a relaxed Sb2AuO2 crystal, as listed in the Alexandria database.

## Properties
Space-group type = I4/mmm, No. 139
Energy relative to the elements, uncorrected = -0.17 eV/atom
Total energy = -4.459 eV per atom
Offset from the most stable computed form = 253 meV/atom
Calculated density = 8.547 g/cm³
Size of the total moment = 0.0 μB per formula unit

Unit cell a=4.5692 b=4.5692 c=5.4562 alpha=65.25 beta=65.25 gamma=90.00
Positions (direct):
1 Sb 0.7500 0.2500 0.5000
2 Sb 0.2500 0.7500 0.5000
3 Au 0.0000 0.0000 0.0000
4 O 0.3193 0.3193 0.3614
5 O 0.6807 0.6807 0.6386


First-principles (PBE-GGA) data for a relaxed SbAuO3 crystal, as listed in the Alexandria database.

## Properties
Space-group type = Pm-3m, No. 221
Energy relative to the elements, uncorrected = -0.47 eV/atom
Total energy = -4.927 eV per atom
Calculated density = 9.751 g/cm³
Size of the total moment = 0.0 μB per formula unit

Unit cell a=3.9674 b=3.9674 c=3.9674 alpha=90.00 beta=90.00 gamma=90.00
Positions (direct):
1 Sb 0.0000 0.0000 0.0000
2 Au 0.5000 0.5000 0.5000
3 O 0.0000 0.5000 0.0000
4 O 0.0000 0.0000 0.5000
5 O 0.5000 0.0000 0.0000


First-principles (PBE-GGA) data for a relaxed Sc4SbAuO crystal, as listed in the Alexandria database.

## Properties
Space-group type = Cmcm, No. 63
Energy relative to the elements, uncorrected = -1.39 eV/atom
Total energy = -6.770 eV per atom
Calculated density = 6.234 g/cm³
Size of the total moment = 0.0 μB per formula unit

Unit cell a=6.0598 b=6.0730 c=8.0416 alpha=90.00 beta=112.13 gamma=90.00
Positions (direct):
1 Sc 0.9325 0.2500 0.8649
2 Sc 0.4107 0.7500 0.8215
3 Sc 0.0675 0.7500 0.1351
4 Sc 0.5893 0.2500 0.1785
5 Sc 0.5000 0.5000 0.5000
6 Sc 0.0000 0.0000 0.5000
7 Sc 0.5000 0.0000 0.5000
8 Sc 0.0000 0.5000 0.5000
9 Sb 0.6065 0.7500 0.2130
10 Sb 0.3935 0.2500 0.7870
11 Au 0.1177 0.2500 0.2355
12 Au 0.8823 0.7500 0.7645
13 O 0.2533 0.7500 0.5067
14 O 0.7467 0.2500 0.4933


First-principles (PBE-GGA) data for a relaxed TaSbAuO2 crystal, as listed in the Alexandria database.

## Properties
Space-group type = P4/mmm, No. 123
Energy relative to the elements, uncorrected = 0.21 eV/atom
Total energy = -5.625 eV per atom
Calculated density = 9.971 g/cm³
Size of the total moment = 1.2 μB per formula unit

Unit cell a=3.9662 b=5.6289 c=3.9662 alpha=90.00 beta=90.00 gamma=90.00
Site moments in Bohr magnetons follow the coordinates.
Positions (direct):
1 Sb 0.0000 0.0000 0.0000  -0.02
2 Au 0.0000 0.5000 0.0000  0.01
3 O 0.0000 0.0000 0.5000  0.01
4 O 0.5000 0.0000 0.0000  -0.02
5 Ta 0.5000 0.5000 0.5000  0.83


First-principles (PBE-GGA) data for a relaxed TcSbAu2O crystal, as listed in the Alexandria database.

## Properties
Space-group type = P4/mmm, No. 123
Energy relative to the elements, uncorrected = 1.46 eV/atom
Total energy = -3.735 eV per atom
Calculated density = 7.312 g/cm³
Size of the total moment = 4.7 μB per formula unit

Unit cell a=5.1399 b=5.4131 c=5.1399 alpha=90.00 beta=90.00 gamma=90.00
Site moments in Bohr magnetons follow the coordinates.
Positions (direct):
1 Sb 0.0000 0.0000 0.0000  -0.02
2 Au 0.0000 0.0000 0.5000  0.06
3 Au 0.5000 0.0000 0.0000  0.04
4 Tc 0.0000 0.5000 0.0000  3.56
5 O 0.5000 0.5000 0.5000  0.36


First-principles (PBE-GGA) data for a relaxed SbTeAuO2 crystal, as listed in the Alexandria database.

## Properties
Space-group type = P4/mmm, No. 123
Energy relative to the elements, uncorrected = -0.47 eV/atom
Total energy = -4.560 eV per atom
Calculated density = 7.982 g/cm³
Size of the total moment = 0.0 μB per formula unit

Unit cell a=3.9696 b=6.3145 c=3.9696 alpha=90.00 beta=90.00 gamma=90.00
Positions (direct):
1 Sb 0.0000 0.0000 0.0000
2 Te 0.0000 0.5000 0.0000
3 Au 0.5000 0.5000 0.5000
4 O 0.0000 0.0000 0.5000
5 O 0.5000 0.0000 0.0000


First-principles (PBE-GGA) data for a relaxed SbTe2AuO crystal, as listed in the Alexandria database.

## Properties
Space-group type = P4/mmm, No. 123
Energy relative to the elements, uncorrected = 0.29 eV/atom
Total energy = -3.440 eV per atom
Offset from the most stable computed form = 0 meV/atom
Calculated density = 8.669 g/cm³
Size of the total moment = 0.0 μB per formula unit

Unit cell a=4.8735 b=4.8735 c=4.7578 alpha=90.00 beta=90.00 gamma=90.00
Positions (direct):
1 Sb 0.0000 0.0000 0.5000
2 Te 0.0000 0.5000 0.0000
3 Te 0.5000 0.0000 0.0000
4 Au 0.5000 0.5000 0.5000
5 O 0.0000 0.0000 0.0000


First-principles (PBE-GGA) data for a relaxed SbTeAuO6 crystal, as listed in the Alexandria database.

## Properties
Space-group type = P-31c, No. 163
Energy relative to the elements, uncorrected = -0.80 eV/atom
Total energy = -5.275 eV per atom
Calculated density = 6.967 g/cm³
Size of the total moment = 0.0 μB per formula unit

Unit cell a=5.3557 b=5.3557 c=10.4067 alpha=90.00 beta=90.00 gamma=120.00
Positions (direct):
1 Sb 0.3333 0.6667 0.2500
2 Sb 0.6667 0.3333 0.7500
3 Te 0.6667 0.3333 0.2500
4 Te 0.3333 0.6667 0.7500
5 Au 0.0000 0.0000 0.0000
6 Au 0.0000 0.0000 0.5000
7 O 0.6295 0.6225 0.1438
8 O 0.9930 0.3705 0.1438
9 O 0.3705 0.9930 0.6438
10 O 0.0070 0.6295 0.8562
11 O 0.3775 0.3705 0.3562
12 O 0.9930 0.6225 0.3562
13 O 0.6225 0.9930 0.8562
14 O 0.6295 0.0070 0.3562
15 O 0.0070 0.3775 0.6438
16 O 0.3775 0.0070 0.1438
17 O 0.6225 0.6295 0.6438
18 O 0.3705 0.3775 0.8562


First-principles (PBE-GGA) data for a relaxed SbTe2AuO crystal, as listed in the Alexandria database.

## Properties
Space-group type = P4/mmm, No. 123
Energy relative to the elements, uncorrected = 1.08 eV/atom
Total energy = -2.653 eV per atom
Offset from the most stable computed form = 787 meV/atom
Calculated density = 6.213 g/cm³
Size of the total moment = 0.0 μB per formula unit

Unit cell a=5.3905 b=5.3905 c=5.4265 alpha=90.00 beta=90.00 gamma=90.00
Positions (direct):
1 Sb 0.0000 0.0000 0.5000
2 Te 0.0000 0.5000 0.0000
3 Te 0.5000 0.0000 0.0000
4 Au 0.0000 0.0000 0.0000
5 O 0.5000 0.5000 0.5000


First-principles (PBE-GGA) data for a relaxed Sc2AuO crystal, as listed in the Alexandria database.

## Properties
Space-group type = R-3m, No. 166
Energy relative to the elements, uncorrected = -1.30 eV/atom
Total energy = -6.528 eV per atom
Calculated density = 7.395 g/cm³
Size of the total moment = 0.0 μB per formula unit

Unit cell a=8.2694 b=8.2694 c=8.2694 alpha=21.74 beta=21.74 gamma=21.74
Positions (direct):
1 Sc 0.8863 0.8863 0.8863
2 Sc 0.1137 0.1137 0.1137
3 Au 0.0000 0.0000 0.0000
4 O 0.5000 0.5000 0.5000


First-principles (PBE-GGA) data for a relaxed ScAu3O crystal, as listed in the Alexandria database.

## Properties
Space-group type = Pm-3m, No. 221
Energy relative to the elements, uncorrected = 0.13 eV/atom
Total energy = -4.092 eV per atom
Offset from the most stable computed form = 0 meV/atom
Calculated density = 11.715 g/cm³
Size of the total moment = 0.0 μB per formula unit

Unit cell a=4.5208 b=4.5208 c=4.5208 alpha=90.00 beta=90.00 gamma=90.00
Positions (direct):
1 Sc 0.5000 0.5000 0.5000
2 Au 0.0000 0.5000 0.0000
3 Au 0.0000 0.0000 0.5000
4 Au 0.5000 0.0000 0.0000
5 O 0.0000 0.0000 0.0000